Entry 1:
VASP calculation (GGA-PBE) on crystalline Sc3MoC at its relaxed geometry.

POSCAR file:
```
Sc3MoC
1.0
4.484 0.000 0.000
0.000 4.484 0.000
0.000 0.000 4.484
Sc Mo C
3 1 1
direct
0.000 0.000 0.500
0.000 0.500 0.000
0.500 0.000 0.000
0.500 0.500 0.500
0.000 0.000 0.000
```

Calculated values
The space group is No. 221. For the offset from the most stable computed form, the calculation gives 0 meV per atom. Its electronic total energy is -38.69 eV/cell.


Entry 2:
VASP calculation (GGA-PBE) on crystalline ScMoC2 at its relaxed geometry.

POSCAR file:
```
ScMoC2
1.0
1.563 0.902 5.292
-1.563 0.902 5.292
0.000 -1.804 5.292
Sc Mo C
1 1 2
direct
0.000 0.000 0.000
0.500 0.500 0.500
0.245 0.245 0.245
0.755 0.755 0.755
```

Calculated values
The space group is No. 166. For the offset from the most stable computed form, the calculation gives 0 meV per atom. Its electronic total energy is -36.95 eV/cell.


Entry 3:
VASP calculation (GGA-PBE) on crystalline ScMoC2 at its relaxed geometry.

POSCAR file:
```
ScMoC2
1.0
1.550 0.895 5.525
-1.550 0.895 5.525
0.000 -1.790 5.525
Sc Mo C
1 1 2
direct
0.000 0.000 0.000
0.177 0.177 0.177
0.582 0.582 0.582
0.764 0.764 0.764
```

Calculated values
The space group is No. 160. For the offset from the most stable computed form, the calculation gives 218 meV per atom. Its electronic total energy is -36.07 eV/cell.


Entry 4:
VASP calculation (GGA-PBE) on crystalline Sc3MoC3 at its relaxed geometry.

POSCAR file:
```
Sc3MoC3
1.0
4.335 -4.794 0.000
4.335 4.794 0.000
0.000 0.000 4.736
Sc Mo C
6 2 6
direct
0.111 0.889 0.750
0.148 0.389 0.750
0.389 0.148 0.250
0.611 0.852 0.750
0.852 0.611 0.250
0.889 0.111 0.250
0.328 0.672 0.250
0.672 0.328 0.750
0.127 0.873 0.250
0.153 0.397 0.250
0.397 0.153 0.750
0.603 0.847 0.250
0.847 0.603 0.750
0.873 0.127 0.750
```

Calculated values
The space group is No. 63. Its electronic total energy is -120.74 eV/cell.


Entry 5:
VASP calculation (GGA-PBE) on crystalline ScMoC2Se at its relaxed geometry.

POSCAR file:
```
ScMoC2Se
1.0
4.002 0.000 0.000
0.000 4.002 0.000
0.000 0.000 5.165
Sc Mo C Se
1 1 2 1
direct
0.000 0.000 0.000
0.500 0.500 0.500
0.000 0.500 0.500
0.500 0.000 0.500
0.500 0.500 0.000
```

Calculated values
The space group is No. 123. For the offset from the most stable computed form, the calculation gives 0 meV per atom. Its electronic total energy is -35.83 eV/cell.


Entry 6:
VASP calculation (GGA-PBE) on crystalline ScMoC2Se at its relaxed geometry.

POSCAR file:
```
ScMoC2Se
1.0
4.062 0.000 0.000
0.000 4.062 0.000
0.000 0.000 5.346
Sc Mo C Se
1 1 2 1
direct
0.000 0.000 0.000
0.000 0.000 0.500
0.000 0.500 0.000
0.500 0.000 0.000
0.500 0.500 0.500
```

Calculated values
The space group is No. 123. For the offset from the most stable computed form, the calculation gives 1585 meV per atom. Its electronic total energy is -27.91 eV/cell.


Entry 7:
VASP calculation (GGA-PBE) on crystalline Sc2SiMoC at its relaxed geometry.

POSCAR file:
```
Sc2SiMoC
1.0
4.451 0.000 0.000
0.000 4.451 0.000
0.000 0.000 4.060
Sc Si Mo C
2 1 1 1
direct
0.000 0.500 0.000
0.500 0.000 0.000
0.000 0.000 0.500
0.500 0.500 0.500
0.500 0.500 0.000
```

Calculated values
The space group is No. 123. Its electronic total energy is -40.14 eV/cell.


Entry 8:
VASP calculation (GGA-PBE) on crystalline Sc2SnMoC at its relaxed geometry.

POSCAR file:
```
Sc2SnMoC
1.0
4.574 0.000 0.000
0.000 4.574 0.000
0.000 0.000 4.130
Sc Sn Mo C
2 1 1 1
direct
0.000 0.500 0.000
0.500 0.000 0.000
0.000 0.000 0.500
0.500 0.500 0.500
0.500 0.500 0.000
```

Calculated values
The space group is No. 123. Its electronic total energy is -39.15 eV/cell.


Entry 9:
VASP calculation (GGA-PBE) on crystalline SrScMo2C at its relaxed geometry.

POSCAR file:
```
SrScMo2C
1.0
4.685 0.000 0.000
0.000 4.685 0.000
0.000 0.000 5.107
Sr Sc Mo C
1 1 2 1
direct
0.000 0.000 0.000
0.000 0.000 0.500
0.000 0.500 0.000
0.500 0.000 0.000
0.500 0.500 0.500
```

Calculated values
The space group is No. 123. For the offset from the most stable computed form, the calculation gives 3201 meV per atom. Its electronic total energy is -20.67 eV/cell.


Entry 10:
VASP calculation (GGA-PBE) on crystalline SrScMo2C at its relaxed geometry.

POSCAR file:
```
SrScMo2C
1.0
4.301 0.000 0.000
0.000 4.301 0.000
0.000 0.000 4.865
Sr Sc Mo C
1 1 2 1
direct
0.000 0.000 0.000
0.500 0.500 0.000
0.000 0.500 0.500
0.500 0.000 0.500
0.500 0.500 0.500
```

Calculated values
The space group is No. 123. For the offset from the most stable computed form, the calculation gives 0 meV per atom. Its electronic total energy is -36.67 eV/cell.


Entry 11:
VASP calculation (GGA-PBE) on crystalline Sc2TcMoC at its relaxed geometry.

POSCAR file:
```
Sc2TcMoC
1.0
5.019 0.000 0.000
0.000 5.019 0.000
0.000 0.000 3.849
Sc Tc Mo C
2 1 1 1
direct
0.000 0.500 0.000
0.500 0.000 0.000
0.000 0.000 0.000
0.500 0.500 0.500
0.000 0.000 0.500
```

Calculated values
The space group is No. 123. Its electronic total energy is -37.49 eV/cell.


Entry 12:
VASP calculation (GGA-PBE) on crystalline ScTc2MoC at its relaxed geometry.

POSCAR file:
```
ScTc2MoC
1.0
4.175 0.000 0.000
0.000 4.175 0.000
0.000 0.000 4.170
Sc Tc Mo C
1 2 1 1
direct
0.000 0.000 0.000
0.000 0.500 0.500
0.500 0.000 0.500
0.500 0.500 0.000
0.500 0.500 0.500
```

Calculated values
The space group is No. 123. Its electronic total energy is -47.24 eV/cell.